Record 1
First-principles (PBE) data for an optimized crystal structure of AcSc2Ir, as listed in Alexandria.

POSCAR file:
```
AcSc2Ir
1.0
-0.595 3.754 -1.949
-2.246 0.191 -3.628
-6.854 2.305 1.851
Sc Ir Ac
2 1 1
direct
0.788 0.788 0.637
0.212 0.212 0.363
0.500 0.500 0.500
0.000 0.000 0.000
```

Calculated values
Energy above the lowest structure with this stoichiometry (kJ/mol of formula units): 12
Formation energy from the elements (eV/f.u.): -1.5
SG: R-3m (166)



Record 2
First-principles (PBE) data for an optimized crystal structure of Th3NpS6, as listed in Alexandria.

POSCAR file:
```
Th3NpS6
1.0
-7.079 2.076 3.457
3.470 -3.969 6.211
3.940 7.112 0.520
S Th Np
12 6 2
direct
0.577 0.430 0.184
0.325 0.950 0.059
0.570 0.816 0.423
0.950 0.059 0.325
0.423 0.570 0.816
0.059 0.325 0.950
0.430 0.184 0.577
0.941 0.675 0.050
0.050 0.941 0.675
0.675 0.050 0.941
0.816 0.423 0.570
0.184 0.577 0.430
0.380 0.879 0.701
0.121 0.299 0.620
0.879 0.701 0.380
0.620 0.121 0.299
0.299 0.620 0.121
0.701 0.380 0.879
0.000 0.000 0.000
0.500 0.500 0.500
```

Calculated values
Energy relative to the elements, uncorrected (eV/atom): -1.7034
SG: R-3 (148)



Record 3
First-principles (PBE) data for an optimized crystal structure of Sr2Ag12Pd5, as listed in Alexandria.

POSCAR file:
```
Sr2Ag12Pd5
1.0
-5.323 -4.231 -2.565
0.659 -5.343 4.881
-5.215 2.262 4.528
Ag Pd Sr
12 5 2
direct
0.850 0.347 0.347
0.293 0.707 0.000
0.707 0.293 0.000
0.347 0.347 0.850
0.347 0.850 0.347
0.293 0.000 0.707
0.150 0.653 0.653
0.000 0.293 0.707
0.653 0.653 0.150
0.707 0.000 0.293
0.000 0.707 0.293
0.653 0.150 0.653
0.901 0.901 0.901
0.099 0.099 0.099
0.000 0.000 0.500
0.000 0.500 0.000
0.500 0.000 0.000
0.325 0.325 0.325
0.675 0.675 0.675
```

Calculated values
Formation energy from the elements (eV/f.u.): -3.4
SG: R-3m (166)



Record 4
First-principles (PBE) data for an optimized crystal structure of La2Ho5ErTh, as listed in Alexandria.

POSCAR file:
```
La2Ho5ErTh
1.0
-3.023 3.098 3.579
-5.386 -8.571 -1.537
5.118 -4.725 8.412
Ho Th Er La
10 2 2 4
direct
0.482 0.963 0.737
0.518 0.037 0.237
0.390 0.780 0.020
0.701 0.402 0.209
0.610 0.220 0.520
0.281 0.562 0.311
0.014 0.029 0.027
0.299 0.598 0.709
0.719 0.438 0.811
0.986 0.971 0.527
0.417 0.834 0.462
0.583 0.166 0.962
0.201 0.403 0.009
0.799 0.597 0.509
0.115 0.231 0.735
0.885 0.769 0.235
0.884 0.769 0.815
0.116 0.231 0.315
```

Calculated values
Formation energy from the elements (eV/f.u.): 1.5
SG: Cmc2_1 (36)



Record 5
First-principles (PBE) data for an optimized crystal structure of Na2Ti2Br, as listed in Alexandria.

POSCAR file:
```
Na2Ti2Br
1.0
-2.027 -1.808 3.033
3.304 -2.205 0.894
2.982 3.461 6.790
Na Ti Br
2 2 1
direct
0.250 0.750 0.500
0.750 0.250 0.500
0.565 0.565 0.870
0.435 0.435 0.130
0.000 0.000 0.000
```

Calculated values
Energy above the lowest structure with this stoichiometry (kJ/mol of formula units): 165
Energy relative to the elements, uncorrected (eV/atom): 0.6502
SG: I4/mmm (139)



Record 6
First-principles (PBE) data for an optimized crystal structure of Tl2SnBiSe5, as listed in Alexandria.

POSCAR file:
```
Tl2SnBiSe5
1.0
-3.912 -1.025 0.392
4.600 -7.633 4.899
-0.677 6.993 11.531
Se Tl Sn Bi
10 4 2 2
direct
0.326 0.651 0.368
0.657 0.314 0.495
0.674 0.349 0.868
0.522 0.043 0.271
0.343 0.686 0.995
0.964 0.928 0.546
0.036 0.072 0.046
0.714 0.428 0.183
0.286 0.572 0.683
0.478 0.957 0.771
0.879 0.759 0.176
0.865 0.730 0.828
0.121 0.241 0.676
0.135 0.270 0.328
0.551 0.103 0.923
0.449 0.897 0.423
0.793 0.586 0.533
0.207 0.414 0.033
```

Calculated values
Energy relative to the elements, uncorrected (eV/atom): -0.3334
SG: Cmc2_1 (36)



Number 1: final energy -6.7720 eV per atom, V 111.3 Å³ per cell. Number 2: final energy -7.6999 eV per atom, V 513.6 Å³ per cell. Number 3: final energy -3.5233 eV per atom, V 375.5 Å³ per cell. Number 4: final energy -4.8040 eV per atom, V 604.0 Å³ per cell. Number 5: final energy -3.3700 eV per atom, V 127.0 Å³ per cell. Number 6: final energy -3.6711 eV per atom, V 546.7 Å³ per cell.